First-principles (PBE-GGA) data for a relaxed Er4MgSc7 crystal, as listed in Alexandria.

Values from the calculation:
- V (A^3/atom) = 27.151
- size of the total moment (μB per formula unit) = 0.0
- total DFT energy (no corrections) (eV/cell) = -122.97
- DFT formation energy (meV per atom) = 223

a b c (Å): 11.3385 5.2806 11.1268
angles (deg): 90.00 102.02 90.00
Closest atoms and distances in Å follow each position.
Space group C2/m (No. 12)
Symmetry-distinct sites (fractional):
Er1 0.0794 0.0000 0.2667 x4  1 Mg 2.92, 1 Sc 3.24
Er2 0.1380 0.5000 0.7802 x4  5 Sc 3.18-3.42, 1 Er 3.35
Mg1 0.0000 0.0000 0.5000 x2  4 Sc 2.64-2.89, 2 Er 2.92
Sc1 0.0000 0.5000 0.5000 x2  2 Mg 2.64
Sc2 0.1152 0.5000 0.1046 x4  5 Sc 3.04-3.28, 3 Er 3.27-3.38
Sc3 0.1370 0.0000 0.9750 x4  4 Sc 3.04-3.27, 2 Er 3.24-3.32
Sc4 0.2434 0.5000 0.3979 x4  1 Mg 2.89, 1 Sc 3.20